a) {"formula": "LiCuCl", "functional": "PBE-GGA", "state": "relaxed", "lattice_angstrom": [[3.247, 0.000, 0.000], [-1.624, 2.812, 0.000], [0.000, 0.000, 5.584]], "species": ["Li", "Cu", "Cl"], "frac_coords": [[0.000, 0.000, 0.000], [0.333, 0.667, 0.604], [0.667, 0.333, 0.259]], "sg": "P3m1, No. 156", "magmom_total_mub_per_fu": 0.00}

***

b) {"formula": "LiCuCl", "functional": "PBE-GGA", "state": "relaxed", "lattice_angstrom": [[6.138, 0.000, 0.000], [0.000, 6.138, 0.000], [0.000, 0.000, 6.138]], "species": ["Li", "Li", "Li", "Li", "Cu", "Cu", "Cu", "Cu", "Cl", "Cl", "Cl", "Cl"], "frac_coords": [[0.000, 0.000, 0.000], [0.000, 0.500, 0.500], [0.500, 0.000, 0.500], [0.500, 0.500, 0.000], [0.000, 0.000, 0.500], [0.000, 0.500, 0.000], [0.500, 0.000, 0.000], [0.500, 0.500, 0.500], [0.250, 0.250, 0.750], [0.250, 0.750, 0.250], [0.750, 0.250, 0.250], [0.750, 0.750, 0.750]], "sg": "F-43m, No. 216", "magmom_total_mub_per_fu": 0.00}

***

Stability, descending: a), b)

***

a) {"formula": "LiCuCl", "functional": "PBE-GGA", "state": "relaxed", "lattice_angstrom": [[3.439, 0.000, 0.000], [0.000, 5.385, 0.000], [0.000, 0.000, 11.177]], "species": ["Li", "Li", "Li", "Li", "Cu", "Cu", "Cu", "Cu", "Cl", "Cl", "Cl", "Cl"], "frac_coords": [[0.000, 0.000, 0.000], [0.000, 0.500, 0.500], [0.500, 0.000, 0.500], [0.500, 0.500, 0.000], [0.000, 0.000, 0.693], [0.000, 0.500, 0.193], [0.500, 0.000, 0.193], [0.500, 0.500, 0.693], [0.000, 0.000, 0.361], [0.000, 0.500, 0.861], [0.500, 0.000, 0.861], [0.500, 0.500, 0.361]], "sg": "Fmm2, No. 42", "magmom_total_mub_per_fu": 0.00}

***

b) {"formula": "LiCuCl", "functional": "PBE-GGA", "state": "relaxed", "lattice_angstrom": [[3.214, 0.000, 0.000], [0.000, 3.214, 0.000], [0.000, 0.000, 12.488]], "species": ["Li", "Li", "Cu", "Cu", "Cl", "Cl"], "frac_coords": [[0.000, 0.000, 0.000], [0.500, 0.500, 0.500], [0.000, 0.000, 0.653], [0.500, 0.500, 0.153], [0.000, 0.000, 0.451], [0.500, 0.500, 0.951]], "sg": "I4mm, No. 107", "magmom_total_mub_per_fu": 0.00}

***

c) {"formula": "LiCuCl", "functional": "PBE-GGA", "state": "relaxed", "lattice_angstrom": [[3.423, 0.000, 0.000], [0.000, 3.423, 0.000], [0.000, 0.000, 9.708]], "species": ["Li", "Li", "Cu", "Cu", "Cl", "Cl"], "frac_coords": [[0.250, 0.250, 0.117], [0.750, 0.750, 0.883], [0.250, 0.750, 0.500], [0.750, 0.250, 0.500], [0.250, 0.250, 0.857], [0.750, 0.750, 0.143]], "sg": "P4/nmm, No. 129", "magmom_total_mub_per_fu": 0.00}

***

Stability, descending: c), b), a)

***

a) {"formula": "Li2CuCl4", "functional": "PBE-GGA", "state": "relaxed", "lattice_angstrom": [[4.866, 0.000, 0.000], [0.000, 4.866, 0.000], [0.000, 0.000, 12.596]], "species": ["Li", "Li", "Li", "Li", "Cu", "Cu", "Cl", "Cl", "Cl", "Cl", "Cl", "Cl", "Cl", "Cl"], "frac_coords": [[0.000, 0.000, 0.132], [0.000, 0.000, 0.868], [0.500, 0.500, 0.368], [0.500, 0.500, 0.632], [0.000, 0.000, 0.500], [0.500, 0.500, 0.000], [0.000, 0.000, 0.315], [0.000, 0.000, 0.685], [0.000, 0.500, 0.000], [0.000, 0.500, 0.500], [0.500, 0.000, 0.000], [0.500, 0.000, 0.500], [0.500, 0.500, 0.185], [0.500, 0.500, 0.815]], "sg": "I4/mmm, No. 139", "magmom_total_mub_per_fu": 0.91}

***

b) {"formula": "Li2CuCl4", "functional": "PBE-GGA", "state": "relaxed", "lattice_angstrom": [[6.165, 0.000, 0.000], [0.000, 6.165, 0.000], [0.000, 0.000, 8.140]], "species": ["Li", "Li", "Li", "Li", "Cu", "Cu", "Cl", "Cl", "Cl", "Cl", "Cl", "Cl", "Cl", "Cl"], "frac_coords": [[0.000, 0.500, 0.250], [0.000, 0.500, 0.750], [0.500, 0.000, 0.250], [0.500, 0.000, 0.750], [0.000, 0.000, 0.000], [0.500, 0.500, 0.500], [0.238, 0.238, 0.110], [0.238, 0.762, 0.890], [0.262, 0.262, 0.610], [0.262, 0.738, 0.390], [0.738, 0.262, 0.390], [0.738, 0.738, 0.610], [0.762, 0.238, 0.890], [0.762, 0.762, 0.110]], "sg": "I-42m, No. 121", "magmom_total_mub_per_fu": 1.07}

***

Stability, descending: b), a)

***

a) {"formula": "LiCuP2Cl", "functional": "PBE-GGA", "state": "relaxed", "lattice_angstrom": [[4.252, 0.000, 0.000], [0.000, 4.252, 0.000], [0.000, 0.000, 7.465]], "species": ["Li", "Cu", "P", "P", "Cl"], "frac_coords": [[0.000, 0.000, 0.000], [0.500, 0.500, 0.500], [0.000, 0.500, 0.500], [0.500, 0.000, 0.500], [0.500, 0.500, 0.000]], "sg": "P4/mmm, No. 123", "magmom_total_mub_per_fu": 0.76}

***

b) {"formula": "LiCuP2Cl", "functional": "PBE-GGA", "state": "relaxed", "lattice_angstrom": [[4.360, 0.000, 0.000], [0.000, 4.360, 0.000], [0.000, 0.000, 4.675]], "species": ["Li", "Cu", "P", "P", "Cl"], "frac_coords": [[0.000, 0.000, 0.000], [0.500, 0.500, 0.500], [0.000, 0.500, 0.000], [0.500, 0.000, 0.000], [0.000, 0.000, 0.500]], "sg": "P4/mmm, No. 123", "magmom_total_mub_per_fu": 0.00}

***

Stability, descending: a), b)

***

a) {"formula": "LiCuS2Cl", "functional": "PBE-GGA", "state": "relaxed", "lattice_angstrom": [[4.334, 0.000, 0.000], [0.000, 4.334, 0.000], [0.000, 0.000, 6.107]], "species": ["Li", "Cu", "S", "S", "Cl"], "frac_coords": [[0.000, 0.000, 0.000], [0.500, 0.500, 0.500], [0.000, 0.500, 0.500], [0.500, 0.000, 0.500], [0.500, 0.500, 0.000]], "sg": "P4/mmm, No. 123", "magmom_total_mub_per_fu": 0.69}

***

b) {"formula": "LiCuS2Cl", "functional": "PBE-GGA", "state": "relaxed", "lattice_angstrom": [[4.057, 0.000, 0.000], [0.000, 4.057, 0.000], [0.000, 0.000, 6.618]], "species": ["Li", "Cu", "S", "S", "Cl"], "frac_coords": [[0.000, 0.000, 0.000], [0.500, 0.500, 0.500], [0.000, 0.500, 0.000], [0.500, 0.000, 0.000], [0.000, 0.000, 0.500]], "sg": "P4/mmm, No. 123", "magmom_total_mub_per_fu": 0.00}

***

Stability, descending: a), b)

***

a) {"formula": "LiCuSCl2", "functional": "PBE-GGA", "state": "relaxed", "lattice_angstrom": [[4.951, 0.000, 0.000], [0.000, 4.951, 0.000], [0.000, 0.000, 4.444]], "species": ["Li", "Cu", "S", "Cl", "Cl"], "frac_coords": [[0.000, 0.000, 0.000], [0.500, 0.500, 0.500], [0.500, 0.500, 0.000], [0.000, 0.500, 0.500], [0.500, 0.000, 0.500]], "sg": "P4/mmm, No. 123", "magmom_total_mub_per_fu": 1.23}

***

b) {"formula": "LiCuSCl2", "functional": "PBE-GGA", "state": "relaxed", "lattice_angstrom": [[4.610, 0.000, 0.000], [0.000, 4.610, 0.000], [0.000, 0.000, 4.575]], "species": ["Li", "Cu", "S", "Cl", "Cl"], "frac_coords": [[0.000, 0.000, 0.000], [0.500, 0.500, 0.500], [0.000, 0.000, 0.500], [0.000, 0.500, 0.000], [0.500, 0.000, 0.000]], "sg": "P4/mmm, No. 123", "magmom_total_mub_per_fu": 0.00}

***

Stability, descending: a), b)

***

a) {"formula": "MgCu3Cl", "functional": "PBE-GGA", "state": "relaxed", "lattice_angstrom": [[4.558, 0.000, 0.000], [0.000, 4.558, 0.000], [0.000, 0.000, 4.558]], "species": ["Mg", "Cu", "Cu", "Cu", "Cl"], "frac_coords": [[0.000, 0.000, 0.000], [0.000, 0.500, 0.500], [0.500, 0.000, 0.500], [0.500, 0.500, 0.000], [0.500, 0.500, 0.500]], "sg": "Pm-3m, No. 221", "magmom_total_mub_per_fu": 0.00}

***

b) {"formula": "MgCu3Cl", "functional": "PBE-GGA", "state": "relaxed", "lattice_angstrom": [[4.760, 0.000, 0.000], [0.000, 4.760, 0.000], [0.000, 0.000, 4.760]], "species": ["Mg", "Cu", "Cu", "Cu", "Cl"], "frac_coords": [[0.000, 0.000, 0.000], [0.000, 0.000, 0.500], [0.000, 0.500, 0.000], [0.500, 0.000, 0.000], [0.500, 0.500, 0.500]], "sg": "Pm-3m, No. 221", "magmom_total_mub_per_fu": 0.00}

***

Stability, descending: a), b)

***

a) {"formula": "Mg3CuCl", "functional": "PBE-GGA", "state": "relaxed", "lattice_angstrom": [[4.990, 0.000, 0.000], [0.000, 4.990, 0.000], [0.000, 0.000, 4.990]], "species": ["Mg", "Mg", "Mg", "Cu", "Cl"], "frac_coords": [[0.000, 0.000, 0.500], [0.000, 0.500, 0.000], [0.500, 0.000, 0.000], [0.000, 0.000, 0.000], [0.500, 0.500, 0.500]], "sg": "Pm-3m, No. 221", "magmom_total_mub_per_fu": 0.00}

***

b) {"formula": "Mg3CuCl", "functional": "PBE-GGA", "state": "relaxed", "lattice_angstrom": [[4.874, 0.000, 0.000], [0.000, 4.874, 0.000], [0.000, 0.000, 4.874]], "species": ["Mg", "Mg", "Mg", "Cu", "Cl"], "frac_coords": [[0.000, 0.000, 0.500], [0.000, 0.500, 0.000], [0.500, 0.000, 0.000], [0.500, 0.500, 0.500], [0.000, 0.000, 0.000]], "sg": "Pm-3m, No. 221", "magmom_total_mub_per_fu": 0.00}

***

Stability, descending: a), b)

***

a) {"formula": "MgCuP2Cl", "functional": "PBE-GGA", "state": "relaxed", "lattice_angstrom": [[4.872, 0.000, 0.000], [0.000, 4.872, 0.000], [0.000, 0.000, 4.768]], "species": ["Mg", "Cu", "P", "P", "Cl"], "frac_coords": [[0.000, 0.000, 0.000], [0.500, 0.500, 0.500], [0.000, 0.500, 0.000], [0.500, 0.000, 0.000], [0.000, 0.000, 0.500]], "sg": "P4/mmm, No. 123", "magmom_total_mub_per_fu": 0.01}

***

b) {"formula": "MgCuP2Cl", "functional": "PBE-GGA", "state": "relaxed", "lattice_angstrom": [[4.347, 0.000, 0.000], [0.000, 4.347, 0.000], [0.000, 0.000, 5.596]], "species": ["Mg", "Cu", "P", "P", "Cl"], "frac_coords": [[0.000, 0.000, 0.000], [0.500, 0.500, 0.500], [0.000, 0.500, 0.500], [0.500, 0.000, 0.500], [0.500, 0.500, 0.000]], "sg": "P4/mmm, No. 123", "magmom_total_mub_per_fu": 0.98}

***

Stability, descending: b), a)

***

a) {"formula": "Mn2CuCl", "functional": "PBE-GGA", "state": "relaxed", "lattice_angstrom": [[3.038, 0.000, 0.000], [0.000, 3.038, 0.000], [0.000, 0.000, 7.383]], "species": ["Mn", "Mn", "Cu", "Cl"], "frac_coords": [[0.000, 0.000, 0.000], [0.500, 0.500, 0.238], [0.500, 0.500, 0.812], [0.000, 0.000, 0.435]], "sg": "P4mm, No. 99", "magmom_total_mub_per_fu": 7.83}

***

b) {"formula": "Mn2CuCl", "functional": "PBE-GGA", "state": "relaxed", "lattice_angstrom": [[4.634, 0.000, 0.000], [0.000, 4.634, 0.000], [0.000, 0.000, 2.935]], "species": ["Mn", "Mn", "Cu", "Cl"], "frac_coords": [[0.000, 0.500, 0.000], [0.500, 0.000, 0.000], [0.000, 0.000, 0.500], [0.500, 0.500, 0.500]], "sg": "P4/mmm, No. 123", "magmom_total_mub_per_fu": 8.42}

***

Stability, descending: a), b)

***

a) {"formula": "Mn2CuCl", "functional": "PBE-GGA", "state": "relaxed", "lattice_angstrom": [[2.973, 0.000, 0.000], [0.000, 4.562, 0.000], [-0.017, 0.000, 4.786]], "species": ["Mn", "Mn", "Cu", "Cl"], "frac_coords": [[0.000, 0.000, 0.000], [0.001, 0.500, 0.394], [0.502, 0.000, 0.440], [0.998, 0.500, 0.889]], "sg": "Pm, No. 6", "magmom_total_mub_per_fu": 7.76}

***

b) {"formula": "Mn2CuCl", "functional": "PBE-GGA", "state": "relaxed", "lattice_angstrom": [[3.604, 0.000, 0.000], [0.000, 3.604, 0.000], [0.000, 0.000, 10.124]], "species": ["Mn", "Mn", "Mn", "Mn", "Cu", "Cu", "Cl", "Cl"], "frac_coords": [[0.000, 0.000, 0.000], [0.000, 0.500, 0.250], [0.500, 0.000, 0.750], [0.500, 0.500, 0.500], [0.000, 0.000, 0.500], [0.500, 0.500, 0.000], [0.000, 0.500, 0.750], [0.500, 0.000, 0.250]], "sg": "I-4m2, No. 119", "magmom_total_mub_per_fu": 8.53}

***

Stability, descending: a), b)

***

a) {"formula": "Mn2CuCl", "functional": "PBE-GGA", "state": "relaxed", "lattice_angstrom": [[5.756, 0.000, 0.000], [0.000, 5.756, 0.000], [0.000, 0.000, 5.756]], "species": ["Mn", "Mn", "Mn", "Mn", "Mn", "Mn", "Mn", "Mn", "Cu", "Cu", "Cu", "Cu", "Cl", "Cl", "Cl", "Cl"], "frac_coords": [[0.250, 0.250, 0.250], [0.250, 0.250, 0.750], [0.250, 0.750, 0.250], [0.250, 0.750, 0.750], [0.750, 0.250, 0.250], [0.750, 0.250, 0.750], [0.750, 0.750, 0.250], [0.750, 0.750, 0.750], [0.000, 0.000, 0.000], [0.000, 0.500, 0.500], [0.500, 0.000, 0.500], [0.500, 0.500, 0.000], [0.000, 0.000, 0.500], [0.000, 0.500, 0.000], [0.500, 0.000, 0.000], [0.500, 0.500, 0.500]], "sg": "Fm-3m, No. 225", "magmom_total_mub_per_fu": 0.00}

***

b) {"formula": "Mn2CuCl", "functional": "PBE-GGA", "state": "relaxed", "lattice_angstrom": [[3.200, 0.000, 0.000], [-1.600, 2.772, 0.000], [0.000, 0.000, 22.337]], "species": ["Mn", "Mn", "Mn", "Mn", "Mn", "Mn", "Cu", "Cu", "Cu", "Cl", "Cl", "Cl"], "frac_coords": [[0.000, 0.000, 0.245], [0.000, 0.000, 0.755], [0.333, 0.667, 0.422], [0.333, 0.667, 0.911], [0.667, 0.333, 0.089], [0.667, 0.333, 0.578], [0.000, 0.000, 0.500], [0.333, 0.667, 0.167], [0.667, 0.333, 0.833], [0.000, 0.000, 0.000], [0.333, 0.667, 0.667], [0.667, 0.333, 0.333]], "sg": "R-3m, No. 166", "magmom_total_mub_per_fu": 8.55}

***

c) {"formula": "Mn2CuCl", "functional": "PBE-GGA", "state": "relaxed", "lattice_angstrom": [[2.988, 0.000, 0.000], [0.000, 3.810, 0.000], [0.000, 0.000, 12.203]], "species": ["Mn", "Mn", "Mn", "Mn", "Cu", "Cu", "Cl", "Cl"], "frac_coords": [[0.000, 0.000, 0.000], [0.000, 0.500, 0.306], [0.500, 0.000, 0.806], [0.500, 0.500, 0.500], [0.000, 0.000, 0.437], [0.500, 0.500, 0.937], [0.000, 0.500, 0.675], [0.500, 0.000, 0.175]], "sg": "Imm2, No. 44", "magmom_total_mub_per_fu": 8.05}

***

Stability, descending: b), c), a)